A relaxed RbGeBPd2 crystal, computed with GGA-PBE.

abc: 4.2559 5.6804 4.2559
angles: 90.00 90.00 90.00
Last column: nearest neighbours and their distance in Å.
Element x y z (fractional)
Rb1 0.0000 0.5000 0.0000  2 B 2.84, 4 Ge 3.01
Ge1 0.5000 0.5000 0.5000  4 Rb 3.01
Pd1 0.5000 0.0000 0.0000  2 B 2.13
Pd2 0.0000 0.0000 0.5000  2 B 2.13
B1 0.0000 0.0000 0.0000  4 Pd 2.13

Values from the calculation:
Magnetic moment in Bohr magnetons per cell: 0.000
Energy relative to the elements in meV per atom: 594
Symmetry: P4/mmm (123)

***

A relaxed GeBPd2Rh crystal, computed with GGA-PBE.

abc: 4.9717 3.8204 4.9717
angles: 90.00 90.00 90.00
Last column: nearest neighbours and their distance in Å.
Element x y z (fractional)
Pd1 0.0000 0.0000 0.5000  2 Rh 2.49
Pd2 0.5000 0.0000 0.0000  2 Rh 2.49
Rh1 0.0000 0.0000 0.0000  2 B 1.91
B1 0.0000 0.5000 0.0000  2 Rh 1.91
Ge1 0.5000 0.5000 0.5000  8 Pd 3.14

Values from the calculation:
Magnetic moment in Bohr magnetons per cell: 0.000
Energy relative to the elements in meV per atom: 924
Symmetry: P4/mmm (123)

***

A relaxed Ge2BPdS crystal, computed with GGA-PBE.

abc: 4.9545 3.5760 4.9545
angles: 90.00 90.00 90.00
Last column: nearest neighbours and their distance in Å.
Element x y z (fractional)
Pd1 0.5000 0.5000 0.5000  8 Ge 3.06
Ge1 0.0000 0.0000 0.5000  2 S 2.48
Ge2 0.5000 0.0000 0.0000  2 S 2.48
B1 0.0000 0.5000 0.0000  2 S 1.79
S1 0.0000 0.0000 0.0000  2 B 1.79

Values from the calculation:
Raw formation energy in eV/atom: 0.810
Magnetic moment in Bohr magnetons per cell: 0.000
Symmetry: P4/mmm (123)

***

A relaxed GeBSb2Pd crystal, computed with GGA-PBE.

abc: 4.9034 4.9034 4.1047
angles: 90.00 90.00 90.00
Last column: nearest neighbours and their distance in Å.
Element x y z (fractional)
B1 0.0000 0.0000 0.0000  2 Ge 2.05
Ge1 0.0000 0.0000 0.5000  2 B 2.05
Pd1 0.5000 0.5000 0.5000  8 Sb 3.20, 4 Ge 3.47
Sb1 0.5000 0.0000 0.0000  2 B 2.45
Sb2 0.0000 0.5000 0.0000  2 B 2.45

Values from the calculation:
Raw formation energy in eV/atom: 0.582
Magnetic moment in Bohr magnetons per cell: 0.000
Symmetry: P4/mmm (123)

***

A relaxed Sr2GeBPd6 crystal, computed with GGA-PBE.

abc: 5.9371 7.0994 5.9419
angles: 65.04 60.03 89.99
Last column: nearest neighbours and their distance in Å.
Element x y z (fractional)
Pd1 0.7364 0.6822 0.0511  1 B 2.12
Pd2 0.7879 0.3181 0.9487  1 B 2.12
Pd3 0.7355 0.6793 0.5288  1 B 2.12
Pd4 0.2636 0.3178 0.9489  1 B 2.12
Pd5 0.2645 0.3207 0.4712  1 B 2.12
Pd6 0.2121 0.6819 0.0513  1 B 2.12
B1 0.5000 0.5000 0.0000  6 Pd 2.12
Sr1 0.2795 0.8363 0.4407  8 Pd 3.12-3.48
Sr2 0.7205 0.1637 0.5592  8 Pd 3.12-3.48
Ge1 0.0000 0.0000 0.0000  6 Pd 2.56-2.57

Values from the calculation:
Magnetic moment in Bohr magnetons per cell: 0.000
Energy relative to the elements in meV per atom: -603
Symmetry: C2/m (12)

***

A relaxed TaGeBPd2 crystal, computed with GGA-PBE.

abc: 4.4805 4.8934 4.4805
angles: 90.00 90.00 90.00
Last column: nearest neighbours and their distance in Å.
Element x y z (fractional)
Ge1 0.0000 0.0000 0.0000  4 Pd 2.24, 2 Ta 2.45
Pd1 0.5000 0.0000 0.0000  2 Ge 2.24
Pd2 0.0000 0.0000 0.5000  2 Ge 2.24
B1 0.5000 0.5000 0.5000  4 Ta 3.17, 8 Pd 3.32
Ta1 0.0000 0.5000 0.0000  2 Ge 2.45

Values from the calculation:
Magnetic moment in Bohr magnetons per cell: 0.000
Energy relative to the elements in meV per atom: 1391
Symmetry: P4/mmm (123)

***

A relaxed Y2GeBPd6 crystal, computed with GGA-PBE.

abc: 5.6694 7.1757 7.0622
angles: 47.63 66.27 89.99
Last column: nearest neighbours and their distance in Å.
Element x y z (fractional)
Y1 0.2936 0.7427 0.4175  8 Pd 2.95-3.27
Y2 0.7064 0.2573 0.5825  8 Pd 2.95-3.27
Pd1 0.7514 0.7110 0.9989  1 B 2.07
Pd2 0.2452 0.7094 0.9947  1 B 2.08
Pd3 0.2486 0.2890 0.0011  1 B 2.07
Pd4 0.7548 0.2906 0.0053  1 B 2.08
Pd5 0.7427 0.8124 0.5211  1 B 2.10
Pd6 0.2573 0.1876 0.4789  1 B 2.10
B1 0.5000 0.5000 0.0000  6 Pd 2.07-2.10
Ge1 0.0000 0.0000 0.0000  6 Pd 2.51-2.55

Values from the calculation:
Magnetic moment in Bohr magnetons per cell: 0.000
Energy relative to the elements in meV per atom: -700
Symmetry: P-1 (2)

***

A relaxed ZrGe2BPd crystal, computed with GGA-PBE.

abc: 5.1325 4.3779 5.1325
angles: 90.00 90.00 90.00
Last column: nearest neighbours and their distance in Å.
Element x y z (fractional)
Pd1 0.5000 0.5000 0.5000  8 Ge 3.37, 4 B 3.63
B1 0.0000 0.5000 0.0000  2 Zr 2.19
Ge1 0.0000 0.0000 0.5000  2 Zr 2.57
Ge2 0.5000 0.0000 0.0000  2 Zr 2.57
Zr1 0.0000 0.0000 0.0000  2 B 2.19

Values from the calculation:
Magnetic moment in Bohr magnetons per cell: 0.000
Energy relative to the elements in meV per atom: 1097
Symmetry: P4/mmm (123)